Entry 1:
The following is a DFT calculation (PBE-GGA) of Sr2BiW after structural relaxation.

The structure in CIF format:
```
data_Sr2BiW
_space_group_name_H-M_alt 'I -4 2 d'
_space_group_IT_number 122
_space_group_name_Hall 'I -4 2bw'
_cell_length_a 8.906
_cell_length_b 8.906
_cell_length_c 6.813
_cell_angle_alpha 90.00
_cell_angle_beta 90.00
_cell_angle_gamma 90.00
loop_
_atom_site_label
_atom_site_type_symbol
_atom_site_fract_x
_atom_site_fract_y
_atom_site_fract_z
_atom_site_occupancy
Sr1 Sr 0.236 0.250 0.125 1
Bi1 Bi 0.000 0.000 0.500 1
W1 W 0.000 0.000 0.000 1
```

## Properties
The calculation puts the formation energy at 956 meV per atom.

---

Entry 2:
The following is a DFT calculation (PBE-GGA) of Sm3Er4Ir4 after structural relaxation.

The structure in CIF format:
```
data_Sm3Er4Ir4
_space_group_name_H-M_alt 'I m m m'
_space_group_IT_number 71
_space_group_name_Hall '-I 2 2'
_cell_length_a 3.926
_cell_length_b 8.605
_cell_length_c 15.841
_cell_angle_alpha 90.00
_cell_angle_beta 90.00
_cell_angle_gamma 90.00
loop_
_atom_site_label
_atom_site_type_symbol
_atom_site_fract_x
_atom_site_fract_y
_atom_site_fract_z
_atom_site_occupancy
Sm1 Sm 0.000 0.000 0.000 1
Sm2 Sm 0.000 0.500 0.102 1
Er1 Er 0.000 0.309 0.332 1
Ir1 Ir 0.000 0.000 0.243 1
Ir2 Ir 0.000 0.215 0.500 1
```

## Properties
The calculation puts the formation energy at -673 meV per atom.

---

Entry 3:
The following is a DFT calculation (PBE-GGA) of Sr2SmPt4Pb3 after structural relaxation.

The structure in CIF format:
```
data_Sr2SmPt4Pb3
_space_group_name_H-M_alt 'P -4 m 2'
_space_group_IT_number 115
_space_group_name_Hall 'P -4 -2'
_cell_length_a 4.818
_cell_length_b 4.818
_cell_length_c 11.356
_cell_angle_alpha 90.00
_cell_angle_beta 90.00
_cell_angle_gamma 90.00
loop_
_atom_site_label
_atom_site_type_symbol
_atom_site_fract_x
_atom_site_fract_y
_atom_site_fract_z
_atom_site_occupancy
Sr1 Sr 0.000 0.500 0.219 1
Sm1 Sm 0.000 0.000 0.500 1
Pt1 Pt 0.000 0.000 0.000 1
Pt2 Pt 0.000 0.500 0.640 1
Pt3 Pt 0.500 0.500 0.000 1
Pb1 Pb 0.000 0.500 0.879 1
Pb2 Pb 0.500 0.500 0.500 1
```

## Properties
The calculation puts the formation energy at -618 meV per atom.

---

Entry 4:
The following is a DFT calculation (PBE-GGA) of KSr2YPd after structural relaxation.

The structure in CIF format:
```
data_KSr2YPd
_space_group_name_H-M_alt 'P 4/m m m'
_space_group_IT_number 123
_space_group_name_Hall '-P 4 2'
_cell_length_a 6.197
_cell_length_b 6.197
_cell_length_c 5.552
_cell_angle_alpha 90.00
_cell_angle_beta 90.00
_cell_angle_gamma 90.00
loop_
_atom_site_label
_atom_site_type_symbol
_atom_site_fract_x
_atom_site_fract_y
_atom_site_fract_z
_atom_site_occupancy
K1 K 0.000 0.000 0.000 1
Sr1 Sr 0.000 0.500 0.500 1
Y1 Y 0.500 0.500 0.000 1
Pd1 Pd 0.500 0.500 0.500 1
```

## Properties
The calculation puts the formation energy at -157 meV per atom.

---

Entry 5:
The following is a DFT calculation (PBE-GGA) of Nd5Sm4Y4 after structural relaxation.

The structure in CIF format:
```
data_Nd5Sm4Y4
_space_group_name_H-M_alt 'I 4/m'
_space_group_IT_number 87
_space_group_name_Hall '-I 4'
_cell_length_a 13.115
_cell_length_b 13.115
_cell_length_c 5.124
_cell_angle_alpha 90.00
_cell_angle_beta 90.00
_cell_angle_gamma 90.00
loop_
_atom_site_label
_atom_site_type_symbol
_atom_site_fract_x
_atom_site_fract_y
_atom_site_fract_z
_atom_site_occupancy
Nd1 Nd 0.000 0.000 0.000 1
Nd2 Nd 0.038 0.194 0.500 1
Sm1 Sm 0.155 0.768 0.000 1
Y1 Y 0.076 0.386 0.000 1
```

## Properties
The calculation puts the formation energy at 14 meV per atom.

---

Entry 6:
The following is a DFT calculation (PBE-GGA) of Na2ScAlTc after structural relaxation.

The structure in CIF format:
```
data_Na2ScAlTc
_space_group_name_H-M_alt 'P 4/m m m'
_space_group_IT_number 123
_space_group_name_Hall '-P 4 2'
_cell_length_a 5.169
_cell_length_b 5.169
_cell_length_c 4.773
_cell_angle_alpha 90.00
_cell_angle_beta 90.00
_cell_angle_gamma 90.00
loop_
_atom_site_label
_atom_site_type_symbol
_atom_site_fract_x
_atom_site_fract_y
_atom_site_fract_z
_atom_site_occupancy
Na1 Na 0.000 0.500 0.000 1
Sc1 Sc 0.000 0.000 0.500 1
Al1 Al 0.500 0.500 0.500 1
Tc1 Tc 0.500 0.500 0.000 1
```

## Properties
The calculation puts the formation energy at 1001 meV per atom.

---

Entry 7:
The following is a DFT calculation (PBE-GGA) of SmPtRh after structural relaxation.

The structure in CIF format:
```
data_SmPtRh
_space_group_name_H-M_alt 'C m c m'
_space_group_IT_number 63
_space_group_name_Hall '-C 2c 2'
_cell_length_a 3.880
_cell_length_b 14.237
_cell_length_c 4.885
_cell_angle_alpha 90.00
_cell_angle_beta 90.00
_cell_angle_gamma 90.00
loop_
_atom_site_label
_atom_site_type_symbol
_atom_site_fract_x
_atom_site_fract_y
_atom_site_fract_z
_atom_site_occupancy
Sm1 Sm 0.000 0.132 0.250 1
Pt1 Pt 0.000 0.335 0.250 1
Rh1 Rh 0.000 0.500 0.000 1
```

## Properties
The calculation puts the formation energy at -461 meV per atom. The polymorph energy (0 for the lowest one) comes out at 0.443 eV/atom.

---

Entry 8:
The following is a DFT calculation (PBE-GGA) of Ce2Dy3PuTe6 after structural relaxation.

The structure in CIF format:
```
data_Ce2Dy3PuTe6
_space_group_name_H-M_alt 'C 1 2/m 1'
_space_group_IT_number 12
_space_group_name_Hall '-C 2y'
_cell_length_a 19.319
_cell_length_b 4.380
_cell_length_c 8.892
_cell_angle_alpha 90.00
_cell_angle_beta 104.26
_cell_angle_gamma 90.00
loop_
_atom_site_label
_atom_site_type_symbol
_atom_site_fract_x
_atom_site_fract_y
_atom_site_fract_z
_atom_site_occupancy
Ce1 Ce 0.167 0.000 0.335 1
Dy1 Dy 0.000 0.500 0.500 1
Dy2 Dy 0.167 0.000 0.834 1
Pu1 Pu 0.000 0.500 0.000 1
Te1 Te 0.002 0.000 0.748 1
Te2 Te 0.164 0.500 0.590 1
Te3 Te 0.168 0.500 0.077 1
```

## Properties
Its formation energy (no corrections) is -1.298 eV/atom.

---

Entry 9:
The following is a DFT calculation (PBE-GGA) of ScGa3Os after structural relaxation.

The structure in CIF format:
```
data_ScGa3Os
_space_group_name_H-M_alt 'P m m a'
_space_group_IT_number 51
_space_group_name_Hall '-P 2a 2a'
_cell_length_a 5.163
_cell_length_b 3.076
_cell_length_c 11.271
_cell_angle_alpha 90.00
_cell_angle_beta 90.00
_cell_angle_gamma 90.00
loop_
_atom_site_label
_atom_site_type_symbol
_atom_site_fract_x
_atom_site_fract_y
_atom_site_fract_z
_atom_site_occupancy
Sc1 Sc 0.250 0.000 0.198 1
Ga1 Ga 0.000 0.500 0.000 1
Ga2 Ga 0.002 0.500 0.388 1
Os1 Os 0.250 0.500 0.806 1
```

## Properties
The calculation puts the formation energy at -134 meV per atom. The polymorph energy (0 for the lowest one) comes out at 0.335 eV/atom.

---

Entry 10:
The following is a DFT calculation (PBE-GGA) of K3TeSe2 after structural relaxation.

The structure in CIF format:
```
data_K3TeSe2
_space_group_name_H-M_alt 'R -3 c'
_space_group_IT_number 167
_space_group_name_Hall '-R 3 2"c'
_cell_length_a 8.8792
_cell_length_b 8.8792
_cell_length_c 20.2330
_cell_angle_alpha 90.00
_cell_angle_beta 90.00
_cell_angle_gamma 120.00
loop_
_atom_site_label
_atom_site_type_symbol
_atom_site_fract_x
_atom_site_fract_y
_atom_site_fract_z
_atom_site_occupancy
K1 K 0.0000 0.2868 0.2500 1
Te1 Te 0.0000 0.0000 0.0000 1
Se1 Se 0.0000 0.0000 0.1390 1
```

## Properties
Its formation energy (no corrections) is -0.857 eV/atom. The polymorph energy (0 for the lowest one) comes out at 0.000 eV/atom.

---

Entry 11:
The following is a DFT calculation (PBE-GGA) of RbCd after structural relaxation.

The structure in CIF format:
```
data_RbCd
_space_group_name_H-M_alt 'P 21 21 21'
_space_group_IT_number 19
_space_group_name_Hall 'P 2ac 2ab'
_cell_length_a 7.864
_cell_length_b 8.993
_cell_length_c 11.164
_cell_angle_alpha 90.00
_cell_angle_beta 90.00
_cell_angle_gamma 90.00
loop_
_atom_site_label
_atom_site_type_symbol
_atom_site_fract_x
_atom_site_fract_y
_atom_site_fract_z
_atom_site_occupancy
Rb1 Rb 0.087 0.111 0.013 1
Rb2 Rb 0.154 0.650 0.861 1
Cd1 Cd 0.020 0.994 0.345 1
Cd2 Cd 0.190 0.752 0.213 1
```

## Properties
The calculation puts the formation energy at -17 meV per atom.